Version 1
This record from the Alexandria database describes crystalline Fe5Co2 at its relaxed geometry. The functional is PBE.

The structure belongs to space group Fmmm (No. 69); the cell edges are 2.827, 4.023 and 28.140 Å and the angles 90.00°, 90.00° and 90.00°. Symmetry generates all atoms from Fe at (0.000, 0.000, 0.000), Fe at (0.000, 0.000, 0.144), Fe at (0.000, 0.000, 0.428) and Co at (0.000, 0.000, 0.285).

Its density is 8.24 g/cm3. Its density of states at the Fermi level is 1.025 states/eV/atom. The spin magnetization is 2.21 μB/atom.

=====

Version 2
This record from the Alexandria database describes crystalline Fe5Co2 at its relaxed geometry. The functional is PBE.

The structure belongs to space group P-1 (No. 2); the cell edges are 2.497, 6.171 and 6.173 Å and the angles 118.20°, 97.58° and 97.79°. Symmetry generates all atoms from Fe at (0.000, 0.000, 0.000), Fe at (0.147, 0.572, 0.858), Fe at (0.429, 0.716, 0.571) and Co at (0.289, 0.143, 0.715).

Its density is 8.15 g/cm3. Its density of states at the Fermi level is 0.477 states/eV/atom. The spin magnetization is 2.34 μB/atom.

=====

Most stable of them? version 2.